An optimized crystal structure of InPbW2, computed with PBEsol.

Values from the calculation:
M_tot, μB per formula unit: 0.0
Calculated formation energy, eV per atom: 0.5798
Relative energy among the computed polymorphs, eV per atom: 0.000
Space-group type: Cmm2

a = 2.9484 Å, b = 2.9484 Å, c = 10.2502 Å
α = 90.00°, β = 90.00°, γ = 112.20°
Element x y z (fractional)
In (0.0000, 0.0000, 0.0000)
Pb (0.5000, 0.5000, 0.3196)
W (0.0000, 0.0000, 0.5702)
W (0.5000, 0.5000, 0.7613)